Record 1
{"formula": "Tb2Dy5Er12", "functional": "GGA-PBE", "state": "relaxed", "total_magnetization_mub_per_atom": 0.0000, "e_above_lowest_polymorph_mev_per_atom": 107, "crystal_system": "monoclinic", "cell": [[9.175, 0.000, 0.000], [-4.588, 7.604, 1.064], [0.000, -1.494, 8.361]], "species": ["Dy", "Dy", "Dy", "Dy", "Dy", "Er", "Er", "Er", "Er", "Er", "Er", "Er", "Er", "Er", "Er", "Er", "Er", "Tb", "Tb"], "fractional_positions": [[0.769, 0.538, 0.428], [0.706, 0.412, 0.020], [0.000, 0.000, 0.500], [0.294, 0.588, 0.980], [0.231, 0.462, 0.572], [0.821, 0.260, 0.667], [0.970, 0.299, 0.241], [0.439, 0.260, 0.667], [0.671, 0.701, 0.759], [0.557, 0.113, 0.335], [0.561, 0.740, 0.333], [0.443, 0.887, 0.665], [0.925, 0.851, 0.127], [0.179, 0.740, 0.333], [0.075, 0.149, 0.873], [0.329, 0.299, 0.241], [0.030, 0.701, 0.759], [0.674, 0.000, 0.000], [0.326, 0.000, 0.000]]}

Record 2
{"formula": "Tb8Dy5Er", "functional": "GGA-PBE", "state": "relaxed", "total_magnetization_mub_per_atom": 0.0001, "crystal_system": "tetragonal", "cell": [[8.013, 0.000, -2.554], [-4.093, 6.738, -2.927], [0.174, 0.000, 8.408]], "species": ["Tb", "Tb", "Tb", "Tb", "Tb", "Tb", "Tb", "Tb", "Er", "Dy", "Dy", "Dy", "Dy", "Dy"], "fractional_positions": [[0.341, 0.263, 0.428], [0.922, 0.088, 0.659], [0.572, 0.912, 0.835], [0.081, 0.746, 0.475], [0.665, 0.395, 0.919], [0.525, 0.605, 0.271], [0.729, 0.254, 0.335], [0.165, 0.737, 0.078], [0.250, 0.500, 0.750], [0.034, 0.319, 0.135], [0.285, 0.100, 0.966], [0.866, 0.900, 0.185], [0.500, 0.000, 0.500], [0.815, 0.681, 0.715]]}

Record 3
{"formula": "TbDyEr2", "functional": "GGA-PBE", "state": "relaxed", "total_magnetization_mub_per_atom": 0.0000, "e_above_lowest_polymorph_mev_per_atom": 1, "crystal_system": "orthorhombic", "cell": [[3.452, 0.021, 1.029], [0.828, 5.649, 3.411], [-0.102, 0.405, 6.637]], "species": ["Er", "Er", "Dy", "Tb"], "fractional_positions": [[0.000, 0.084, 0.916], [0.500, 0.584, 0.416], [0.750, 0.666, 0.834], [0.250, 0.166, 0.334]]}

Record 4
{"formula": "TbDy2Er3", "functional": "GGA-PBE", "state": "relaxed", "total_magnetization_mub_per_atom": 0.0000, "e_above_lowest_polymorph_mev_per_atom": 0, "crystal_system": "monoclinic", "cell": [[-4.367, 2.059, 3.708], [-4.435, 0.408, -5.450], [-0.352, -8.303, 4.209]], "species": ["Dy", "Dy", "Dy", "Dy", "Er", "Er", "Er", "Er", "Er", "Er", "Tb", "Tb"], "fractional_positions": [[0.417, 0.458, 0.666], [0.583, 0.542, 0.334], [0.917, 0.208, 0.666], [0.083, 0.792, 0.334], [0.417, 0.958, 0.666], [0.583, 0.042, 0.334], [0.250, 0.375, 0.000], [0.083, 0.292, 0.334], [0.750, 0.625, 0.000], [0.917, 0.708, 0.666], [0.250, 0.875, 0.000], [0.750, 0.125, 0.000]]}

Record 5
{"formula": "Tb4Dy4Er5", "functional": "GGA-PBE", "state": "relaxed", "total_magnetization_mub_per_atom": 0.0000, "crystal_system": "tetragonal", "cell": [[-4.860, -1.045, -0.239], [-2.229, -3.403, 8.398], [-4.357, 7.785, 2.736]], "species": ["Tb", "Tb", "Tb", "Tb", "Dy", "Dy", "Dy", "Dy", "Er", "Er", "Er", "Er", "Er"], "fractional_positions": [[0.770, 0.384, 0.077], [0.847, 0.923, 0.384], [0.153, 0.077, 0.616], [0.230, 0.616, 0.923], [0.923, 0.462, 0.693], [0.385, 0.693, 0.538], [0.615, 0.307, 0.462], [0.077, 0.538, 0.307], [0.538, 0.770, 0.153], [0.000, 0.000, 0.000], [0.692, 0.847, 0.770], [0.308, 0.153, 0.230], [0.462, 0.230, 0.847]]}

Record 6
{"formula": "Tb6Dy6Er", "functional": "GGA-PBE", "state": "relaxed", "total_magnetization_mub_per_atom": 0.2282, "crystal_system": "hexagonal", "cell": [[-2.048, -5.940, 2.093], [6.203, 1.979, 1.213], [-3.383, 4.610, 9.773]], "species": ["Tb", "Tb", "Tb", "Tb", "Tb", "Tb", "Dy", "Dy", "Dy", "Dy", "Dy", "Dy", "Er"], "fractional_positions": [[0.667, 0.333, 0.000], [0.333, 0.667, 0.500], [0.667, 0.333, 0.500], [0.000, 0.000, 0.654], [0.000, 0.000, 0.346], [0.333, 0.667, 0.000], [0.500, 0.000, 0.756], [0.000, 0.500, 0.756], [0.000, 0.500, 0.244], [0.500, 0.000, 0.244], [0.500, 0.500, 0.244], [0.500, 0.500, 0.756], [0.000, 0.000, 0.000]]}

Record 7
{"formula": "Tb12Dy5Er2", "functional": "GGA-PBE", "state": "relaxed", "total_magnetization_mub_per_atom": 0.0000, "e_above_lowest_polymorph_mev_per_atom": 38, "crystal_system": "monoclinic", "cell": [[-8.429, 2.694, 2.473], [1.227, -5.093, -7.337], [-0.738, -6.915, 5.020]], "species": ["Tb", "Tb", "Tb", "Tb", "Tb", "Tb", "Tb", "Tb", "Tb", "Tb", "Tb", "Tb", "Dy", "Dy", "Dy", "Dy", "Dy", "Er", "Er"], "fractional_positions": [[0.075, 0.151, 0.876], [0.670, 0.701, 0.762], [0.436, 0.259, 0.673], [0.031, 0.701, 0.762], [0.177, 0.741, 0.327], [0.558, 0.116, 0.339], [0.969, 0.299, 0.238], [0.823, 0.259, 0.673], [0.330, 0.299, 0.238], [0.564, 0.741, 0.327], [0.442, 0.884, 0.661], [0.925, 0.849, 0.124], [0.769, 0.538, 0.430], [0.705, 0.411, 0.024], [0.295, 0.589, 0.976], [0.000, 0.000, 0.500], [0.231, 0.462, 0.570], [0.328, 0.000, 0.000], [0.672, 0.000, 0.000]]}

Record 8
{"formula": "TbDy7Er12", "functional": "GGA-PBE", "state": "relaxed", "total_magnetization_mub_per_atom": 0.0000, "e_above_lowest_polymorph_mev_per_atom": 0, "crystal_system": "trigonal", "cell": [[-7.119, -4.744, -0.784], [2.677, -3.820, 7.215], [-3.876, 6.547, 3.991]], "species": ["Er", "Er", "Er", "Er", "Er", "Er", "Er", "Er", "Er", "Er", "Er", "Er", "Dy", "Dy", "Dy", "Dy", "Dy", "Dy", "Dy", "Tb"], "fractional_positions": [[0.186, 0.749, 0.314], [0.583, 0.520, 0.852], [0.686, 0.814, 0.251], [0.749, 0.314, 0.186], [0.520, 0.852, 0.583], [0.148, 0.417, 0.480], [0.251, 0.686, 0.814], [0.814, 0.251, 0.686], [0.314, 0.186, 0.749], [0.417, 0.480, 0.148], [0.852, 0.583, 0.520], [0.480, 0.148, 0.417], [0.916, 0.647, 0.979], [0.353, 0.021, 0.084], [0.084, 0.353, 0.021], [0.500, 0.500, 0.500], [0.021, 0.084, 0.353], [0.979, 0.916, 0.647], [0.647, 0.979, 0.916], [0.000, 0.000, 0.000]]}

Record 9
{"formula": "Tb4Dy6Er19", "functional": "GGA-PBE", "state": "relaxed", "total_magnetization_mub_per_atom": 0.0001, "crystal_system": "cubic", "cell": [[10.059, 0.000, -3.556], [-5.029, 8.711, -3.556], [0.000, 0.000, 10.669]], "species": ["Er", "Er", "Er", "Er", "Er", "Er", "Er", "Er", "Er", "Er", "Er", "Er", "Er", "Er", "Er", "Er", "Er", "Er", "Er", "Tb", "Tb", "Tb", "Tb", "Dy", "Dy", "Dy", "Dy", "Dy", "Dy"], "fractional_positions": [[0.660, 0.461, 0.675], [0.016, 0.802, 0.340], [0.000, 0.739, 0.739], [0.325, 0.786, 0.984], [0.214, 0.539, 0.198], [0.000, 0.261, 0.261], [0.739, 0.739, 0.000], [0.261, 0.261, 0.000], [0.198, 0.214, 0.539], [0.786, 0.984, 0.325], [0.802, 0.340, 0.016], [0.261, 0.000, 0.261], [0.461, 0.675, 0.660], [0.984, 0.325, 0.786], [0.675, 0.660, 0.461], [0.539, 0.198, 0.214], [0.340, 0.016, 0.802], [0.739, 0.000, 0.739], [0.000, 0.000, 0.000], [0.000, 0.000, 0.642], [0.358, 0.358, 0.358], [0.642, 0.000, 0.000], [0.000, 0.642, 0.000], [0.627, 0.500, 0.127], [0.373, 0.500, 0.873], [0.500, 0.873, 0.373], [0.127, 0.627, 0.500], [0.873, 0.373, 0.500], [0.500, 0.127, 0.627]]}

Computed values of electronic total energy (unit: eV/f.u.) for the preceding records, in sequence: -84.58 -61.02 -18.33 -27.40 -59.51 -56.11 -85.33 -85.49 -121.49.
Computed values of DFT formation energy (unit: eV per atom) for the preceding records, in sequence: 0.129 0.257 0.006 0.021 0.018 0.296 0.125 0.305 0.391.